1.
This record from the Alexandria database describes a relaxed ReAsW crystal. The functional is PBE.

Lattice parameters (Å, degrees): 3.090 3.090 11.446 90.00 90.00 120.00
Sites, in units of the cell vectors:
1 Re 0.000 0.000 0.183
2 Re 0.000 0.000 0.817
3 As 0.667 0.333 0.340
4 As 0.667 0.333 0.660
5 W 0.000 0.000 0.500
6 W 0.667 0.333 0.000

Electronic total energy = -9.755 eV per atom

=====

2.
This record from the Alexandria database describes a relaxed LiFe2Mo crystal. The functional is PBE.

Lattice parameters (Å, degrees): 2.523 4.207 4.854 90.00 99.20 90.00
Sites, in units of the cell vectors:
1 Li 0.000 0.000 0.000
2 Fe 0.221 0.500 0.776
3 Fe 0.460 0.000 0.521
4 Mo 0.735 0.500 0.282

Electronic total energy = -7.156 eV per atom

=====

Q: Which DFT formation energy values were calculated for the entries above? A: 262; 262, in meV/atom.
Q: Which magnetic moment values were calculated for the entries above? A: 0.0; 3.6, in Bohr magnetons per cell.